{"formula": "LaTl2F2", "functional": "PBE", "state": "optimized geometry", "cell": [[-6.9215, 0.7918, 4.7245], [0.4256, -8.1672, 1.9924], [1.9127, 0.7525, 2.6760]], "species": ["Tl", "Tl", "Tl", "Tl", "F", "F", "F", "F", "La", "La"], "fractional_positions": [[0.3701, 0.8701, 0.0000], [0.6299, 0.1299, 0.0000], [0.1299, 0.3701, 0.0000], [0.8701, 0.6299, 0.0000], [0.6978, 0.8022, 0.5000], [0.8022, 0.3022, 0.5000], [0.1978, 0.6978, 0.5000], [0.3022, 0.1978, 0.5000], [0.5000, 0.5000, 0.0000], [0.0000, 0.0000, 0.0000]], "raw_formation_energy_ev_per_atom": -1.06, "dft_energy_ha_per_atom": -0.1374, "relative_energy_mev_per_atom": 144}